# 1
This record from the Alexandria database describes CdMoPb at its PBEsol-relaxed geometry. The functional is SCAN.

Geometry as POSCAR:
```
CdMoPb
1.0
3.094 0.000 0.000
-1.547 2.680 0.000
0.000 0.000 7.475
Cd Mo Pb
1 1 1
direct
0.000 0.000 0.000 Cd
0.333 0.667 0.698 Mo
0.667 0.333 0.379 Pb
```

Values from the calculation:
symmetry = No. 156
energy relative to the elements = 0.66 eV/atom
volume = 20.66 Å³/atom
polymorph energy (0 for the lowest one) = 0 meV per atom

***

# 2
This record from the Alexandria database describes Cd2MoPt at its PBEsol-relaxed geometry. The functional is SCAN.

Geometry as POSCAR:
```
Cd2MoPt
1.0
2.764 0.000 0.000
0.000 4.712 0.000
-0.495 0.000 5.189
Cd Mo Pt
2 1 1
direct
0.192 0.000 0.251 Cd
0.808 0.000 0.749 Cd
0.500 0.500 0.000 Mo
0.000 0.500 0.500 Pt
```

Values from the calculation:
symmetry = No. 10
energy relative to the elements = 0.18 eV/atom
volume = 16.90 Å³/atom

***

# 3
This record from the Alexandria database describes CdMoPt at its PBEsol-relaxed geometry. The functional is SCAN.

Geometry as POSCAR:
```
CdMoPt
1.0
4.547 0.000 0.000
-2.274 3.938 0.000
0.000 0.000 2.705
Cd Mo Pt
1 1 1
direct
0.000 0.000 0.000 Cd
0.333 0.667 0.502 Mo
0.667 0.333 0.004 Pt
```

Values from the calculation:
symmetry = No. 156
energy relative to the elements = 0.15 eV/atom
volume = 16.15 Å³/atom

***

# 4
This record from the Alexandria database describes CdMoPt2 at its PBEsol-relaxed geometry. The functional is SCAN.

Geometry as POSCAR:
```
CdMoPt2
1.0
-1.997 1.997 3.951
1.997 -1.997 3.951
1.997 1.997 -3.951
Cd Mo Pt
1 1 2
direct
0.000 0.000 0.000 Cd
0.500 0.500 0.000 Mo
0.250 0.750 0.500 Pt
0.750 0.250 0.500 Pt
```

Values from the calculation:
symmetry = No. 139
energy relative to the elements = -0.10 eV/atom
volume = 15.75 Å³/atom